No. 1
Density functional theory data (PBE-GGA) for a relaxed structure of CaSi2Pt.

a = 6.136 Å, b = 6.136 Å, c = 6.136 Å
α = 142.55°, β = 145.23°, γ = 52.03°
Positions (direct):
1 Ca 0.538 0.538 0.000
2 Si 0.912 0.912 0.000
3 Si 0.264 0.764 0.500
4 Pt 0.786 0.286 0.500

Output
- E_form (uncorrected) (eV per atom) = -0.442
- SG = Imm2 (44)
- volume (Å³/cell) = 79.7
- size of the total moment (μB/atom) = 0.00

=====

No. 2
Density functional theory data (PBE-GGA) for a relaxed structure of LiZrMn2.

a = 6.940 Å, b = 6.940 Å, c = 5.608 Å
α = 51.77°, β = 51.77°, γ = 90.00°
Site moments in Bohr magnetons follow the coordinates.
Positions (direct):
1 Li 0.250 0.750 0.500  -0.05
2 Li 0.500 0.500 0.000  -0.05
3 Mn 0.597 0.125 0.250  3.08
4 Mn 0.153 0.625 0.250  3.10
5 Mn 0.375 0.403 0.750  3.10
6 Mn 0.875 0.847 0.750  3.12
7 Zr 0.000 0.000 0.000  -0.73
8 Zr 0.750 0.250 0.500  -0.73

Output
- SG = I-42d (122)
- energy of formation from the pure elements (eV per formula unit) = 2.04
- volume (Å³/cell) = 130.7
- size of the total moment (μB/atom) = 1.31

=====

No. 3
Density functional theory data (PBE-GGA) for a relaxed structure of YCrIn.

a = 3.457 Å, b = 3.457 Å, c = 7.088 Å
α = 90.00°, β = 90.00°, γ = 120.00°
Site moments in Bohr magnetons follow the coordinates.
Positions (direct):
1 Cr 0.000 0.000 0.013  3.47
2 Y 0.333 0.667 0.677  -0.17
3 In 0.667 0.333 0.309  -0.02

Output
- SG = P3m1 (156)
- energy of formation from the pure elements (eV per formula unit) = 1.05
- volume (Å³/cell) = 73.4
- size of the total moment (μB/atom) = 1.17

=====

No. 4
Density functional theory data (PBE-GGA) for a relaxed structure of LaYMn2.

a = 3.673 Å, b = 3.673 Å, c = 7.059 Å
α = 90.00°, β = 90.00°, γ = 89.99°
Site moments in Bohr magnetons follow the coordinates.
Positions (direct):
1 Y 0.500 0.500 0.250  -0.29
2 Mn 0.000 0.000 0.478  3.49
3 Mn 0.000 0.000 0.022  3.49
4 La 0.500 0.500 0.750  -0.22

Output
- SG = P4/mmm (123)
- energy of formation from the pure elements (eV per formula unit) = 1.00
- polymorph energy (0 for the lowest one) (eV/atom) = 0.140
- volume (Å³/cell) = 95.2
- size of the total moment (μB/atom) = 1.60

=====

No. 5
Density functional theory data (PBE-GGA) for a relaxed structure of KBaGaCl6.

a = 7.217 Å, b = 7.215 Å, c = 6.326 Å
α = 90.00°, β = 89.99°, γ = 59.99°
Positions (direct):
1 Cl 0.066 0.610 0.723
2 Cl 0.610 0.324 0.723
3 Cl 0.066 0.324 0.277
4 Cl 0.324 0.610 0.277
5 Cl 0.610 0.066 0.277
6 Cl 0.324 0.066 0.723
7 K 0.667 0.667 0.500
8 Ba 0.000 0.000 0.000
9 Ga 0.333 0.333 0.500

Output
- E_form (uncorrected) (eV per atom) = -1.695
- SG = P312 (149)
- volume (Å³/cell) = 285.2
- size of the total moment (μB/atom) = 0.00

=====

No. 6
Density functional theory data (PBE-GGA) for a relaxed structure of KBa4Sr4.

a = 6.394 Å, b = 9.777 Å, c = 9.777 Å
α = 83.86°, β = 70.91°, γ = 70.91°
Positions (direct):
1 Sr 0.332 0.336 0.000
2 Sr 0.668 0.000 0.664
3 Sr 0.668 0.664 0.000
4 Sr 0.332 0.000 0.336
5 Ba 0.670 0.330 0.330
6 Ba 0.000 0.330 0.670
7 Ba 0.000 0.670 0.330
8 Ba 0.330 0.670 0.670
9 K 0.000 0.000 0.000

Output
- SG = I4/mmm (139)
- energy of formation from the pure elements (eV per formula unit) = 0.38
- volume (Å³/cell) = 545.9
- size of the total moment (μB/atom) = 0.00

=====

No. 7
Density functional theory data (PBE-GGA) for a relaxed structure of KYAs2.

a = 5.503 Å, b = 5.503 Å, c = 3.257 Å
α = 89.95°, β = 89.95°, γ = 97.49°
Site moments in Bohr magnetons follow the coordinates.
Positions (direct):
1 K 0.500 0.000 0.500  0.00
2 As 0.500 0.500 0.000  0.00
3 As 0.000 0.000 0.000  0.00
4 Y 0.000 0.500 0.500  0.15

Output
- SG = Cmmm (65)
- energy of formation from the pure elements (eV per formula unit) = -1.94
- polymorph energy (0 for the lowest one) (eV/atom) = 0.329
- volume (Å³/cell) = 97.8
- size of the total moment (μB/atom) = 0.06

=====

No. 8
Density functional theory data (PBE-GGA) for a relaxed structure of NiPb.

a = 4.597 Å, b = 4.597 Å, c = 5.188 Å
α = 90.00°, β = 90.00°, γ = 120.00°
Positions (direct):
1 Pb 0.333 0.667 0.750
2 Pb 0.667 0.333 0.250
3 Ni 0.333 0.667 0.250
4 Ni 0.667 0.333 0.750

Output
- SG = P6_3/mmc (194)
- energy of formation from the pure elements (eV per formula unit) = 0.82
- volume (Å³/cell) = 95.0
- size of the total moment (μB/atom) = 0.00